DFT (GGA-PBE) results for La3TiTl4Se8 after structural relaxation.

Lattice parameters (Å, degrees): 9.168 9.168 9.168 55.58 55.58 55.58
Fractional coordinates of all 16 atoms:
La: 0.000 0.500 0.500
La: 0.500 0.000 0.500
La: 0.500 0.500 0.000
Ti: 0.000 0.000 0.000
Tl: 0.000 0.000 0.500
Tl: 0.000 0.500 0.000
Tl: 0.500 0.000 0.000
Tl: 0.500 0.500 0.500
Se: 0.219 0.219 0.763
Se: 0.219 0.763 0.219
Se: 0.237 0.781 0.781
Se: 0.261 0.261 0.261
Se: 0.739 0.739 0.739
Se: 0.763 0.219 0.219
Se: 0.781 0.237 0.781
Se: 0.781 0.781 0.237

**Electronic total energy**: -5.003 eV per atom
**Total moment**: 1.0 μB/cell
**SG**: R-3m